Entry from OQMD via LeMat-Bulk: crystalline GdO at its relaxed geometry (GGA-PBE).

Results
Raw total energy, eV/atom: -7.346

```
2
Lattice="3.286 0.000 0.000 -1.643 2.845 0.000 0.000 0.000 3.138" Properties=species:S:1:pos:R:3 pbc="T T T"
Gd 0.000 0.000 0.000
O 1.643 0.948 1.569
```